[1]
Density functional theory data (GGA-PBE) for Mn2CdAg after structural relaxation.

The calculation puts the density of states at the Fermi level at 3.6 states/eV/f.u. The calculation puts the mass density at 8.0 g/cm³. Its energy is -20.71 eV per formula unit.

The structure belongs to space group I-4m2 (No. 119); the cell edges are 4.086, 4.086 and 8.205 Å and the angles 90.00°, 90.00° and 90.00°. The asymmetric unit holds Mn at (0.000, 0.000, 0.000), Mn at (0.000, 0.500, 0.250), Cd at (0.000, 0.000, 0.500) and Ag at (0.000, 0.500, 0.750).

[2]
Density functional theory data (GGA-PBE) for MnCdAg2 after structural relaxation.

The calculation puts the density of states at the Fermi level at 1.8 states/eV/f.u. The calculation puts the mass density at 8.8 g/cm³. Its energy is -15.19 eV per formula unit.

The structure belongs to space group Imm2 (No. 44); the cell edges are 4.174, 4.203 and 8.196 Å and the angles 90.00°, 90.00° and 90.00°. The asymmetric unit holds Mn at (0.000, 0.000, 0.000), Cd at (0.000, 0.500, 0.250), Ag at (0.000, 0.000, 0.500) and Ag at (0.000, 0.500, 0.750).

no.,size of the total moment (Bohr magnetons per cell)
1,15.38
2,8.33